Below is an optimized crystal structure of Co3Se2Cl2O6, with properties calculated at the GGA+U level.

```
Co3Se2Cl2O6
1.0
4.5890 -3.1810 0.0000
4.5890 3.1810 0.0000
-3.0517 0.0000 6.6315
Co Se Cl O
3 2 2 6
direct
0.0000 0.0000 0.0000 Co
0.4462 0.4462 0.1926 Co
0.5538 0.5538 0.8074 Co
0.1528 0.1528 0.7228 Se
0.8472 0.8472 0.2772 Se
0.2794 0.2794 0.3639 Cl
0.7206 0.7206 0.6361 Cl
0.1099 0.7302 0.1625 O
0.2698 0.8901 0.8375 O
0.3545 0.3545 0.8721 O
0.6455 0.6455 0.1279 O
0.7302 0.1099 0.1625 O
0.8901 0.2698 0.8375 O
```

For the total magnetic moment, the calculation gives 0.69 μB per atom. For the density, the calculation gives 4.30 g/cm³. The total energy comes out at -67.089 eV/cell.